17
Lattice="-4.583 4.583 4.583 4.583 -4.583 4.583 4.583 4.583 -4.583" Properties=species:S:1:pos:R:3 comment="HoMn4Ga12 | the Alexandria database | GGA-PBE | optimized geometry" space_group=Im-3m m_tot_mub_per_cell=2.33 e_form_ev_per_fu=0.87 pbc="T T T"
Ho 0.000 0.000 0.000
Mn 2.291 2.291 -2.291
Mn 2.291 -2.291 2.291
Mn -2.291 2.291 2.291
Mn 2.291 2.291 2.291
Ga 4.583 2.150 -2.150
Ga 4.583 -2.150 2.150
Ga 2.150 4.583 -2.150
Ga 2.433 2.433 0.000
Ga 2.433 0.000 2.433
Ga 2.150 -2.150 4.583
Ga 4.583 2.150 2.150
Ga 0.000 2.433 2.433
Ga -2.150 4.583 2.150
Ga -2.150 2.150 4.583
Ga 2.150 4.583 2.150
Ga 2.150 2.150 4.583